# Rb2Ag2P | Alexandria | PBE-GGA | relaxed
# Energy relative to the lowest polymorph listed for this composition ... 0 meV per atom
# Fermi-level density of states ... 2.39 states/eV per cell
# Size of the total moment ... 0.00 μB/cell
data_Rb2Ag2P
_cell_length_a 7.071
_cell_length_b 7.071
_cell_length_c 5.615
_cell_angle_alpha 90.00
_cell_angle_beta 90.00
_cell_angle_gamma 90.00
_space_group_name_H-M_alt 'P 4/m b m'
_space_group_IT_number 127
_space_group_name_Hall '-P 4 2ab'
loop_
_atom_site_label
_atom_site_fract_x
_atom_site_fract_y
_atom_site_fract_z
Rb1 0.182 0.318 0.000
Ag1 0.147 0.647 0.500
P1 0.000 0.000 0.500

***

# Rb2Ag2P | Alexandria | PBE-GGA | relaxed
# Energy relative to the lowest polymorph listed for this composition ... 21 meV per atom
# Fermi-level density of states ... 9.61 states/eV per cell
# Size of the total moment ... 1.23 μB/cell
data_Rb2Ag2P
_cell_length_a 6.856
_cell_length_b 6.856
_cell_length_c 7.492
_cell_angle_alpha 90.00
_cell_angle_beta 90.00
_cell_angle_gamma 90.00
_space_group_name_H-M_alt 'I 4/m m m'
_space_group_IT_number 139
_space_group_name_Hall '-I 4 2'
loop_
_atom_site_label
_atom_site_fract_x
_atom_site_fract_y
_atom_site_fract_z
Rb1 0.000 0.500 0.250
Ag1 0.000 0.000 0.179
P1 0.000 0.000 0.500

***

# RbAg2PRh | Alexandria | PBE-GGA | relaxed
# Electronic total energy ... -3.03 eV per atom
# Fermi-level density of states ... 10.34 states/eV per cell
# Size of the total moment ... 1.16 μB/cell
data_RbAg2PRh
_cell_length_a 4.728
_cell_length_b 4.728
_cell_length_c 6.247
_cell_angle_alpha 90.00
_cell_angle_beta 90.00
_cell_angle_gamma 90.00
_space_group_name_H-M_alt 'P 4/m m m'
_space_group_IT_number 123
_space_group_name_Hall '-P 4 2'
loop_
_atom_site_label
_atom_site_fract_x
_atom_site_fract_y
_atom_site_fract_z
Rb1 0.000 0.000 0.000
Ag1 0.000 0.500 0.500
P1 0.000 0.000 0.500
Rh1 0.500 0.500 0.000

***

# RbAgPRh2 | Alexandria | PBE-GGA | relaxed
# Electronic total energy ... -4.48 eV per atom
# Fermi-level density of states ... 1.83 states/eV per cell
# Size of the total moment ... 0.00 μB/cell
data_RbAgPRh2
_cell_length_a 4.431
_cell_length_b 4.431
_cell_length_c 5.893
_cell_angle_alpha 90.00
_cell_angle_beta 90.00
_cell_angle_gamma 90.00
_space_group_name_H-M_alt 'P 4/m m m'
_space_group_IT_number 123
_space_group_name_Hall '-P 4 2'
loop_
_atom_site_label
_atom_site_fract_x
_atom_site_fract_y
_atom_site_fract_z
Rb1 0.000 0.000 0.000
Ag1 0.500 0.500 0.000
P1 0.000 0.000 0.500
Rh1 0.000 0.500 0.500

***

# RbAgPRh | Alexandria | PBE-GGA | relaxed
# Electronic total energy ... -4.57 eV per atom
# Fermi-level density of states ... 2.69 states/eV per cell
# Size of the total moment ... 0.00 μB/cell
data_RbAgPRh
_cell_length_a 3.945
_cell_length_b 3.945
_cell_length_c 12.938
_cell_angle_alpha 90.00
_cell_angle_beta 90.00
_cell_angle_gamma 90.00
_space_group_name_H-M_alt 'P 4/n m m'
_space_group_IT_number 129
loop_
_space_group_symop_operation_xyz
'x,y,z'
'-x,-y,-z'
'-y+1/2,x,z'
'y+1/2,-x,-z'
'-x+1/2,-y+1/2,z'
'x+1/2,y+1/2,-z'
'y,-x+1/2,z'
'-y,x+1/2,-z'
'x+1/2,-y,-z'
'-x+1/2,y,z'
'-y,-x,-z'
'y,x,z'
'-x,y+1/2,-z'
'x,-y+1/2,z'
'y+1/2,x+1/2,-z'
'-y+1/2,-x+1/2,z'
loop_
_atom_site_label
_atom_site_fract_x
_atom_site_fract_y
_atom_site_fract_z
Rb1 0.250 0.250 0.239
Ag1 0.250 0.750 0.000
P1 0.250 0.250 0.599
Rh1 0.250 0.750 0.500

***

# RbAgPS4 | Alexandria | PBE-GGA | relaxed
# Fermi-level density of states ... 21.89 states/eV per cell
# Size of the total moment ... 3.13 μB/cell
# Raw formation energy ... -350 meV/atom
data_RbAgPS4
_cell_length_a 8.674
_cell_length_b 12.636
_cell_length_c 7.523
_cell_angle_alpha 90.00
_cell_angle_beta 90.00
_cell_angle_gamma 90.00
_space_group_name_H-M_alt 'C m c m'
_space_group_IT_number 63
_space_group_name_Hall '-C 2c 2'
loop_
_atom_site_label
_atom_site_fract_x
_atom_site_fract_y
_atom_site_fract_z
Rb1 0.000 0.000 0.000
Ag1 0.000 0.377 0.250
P1 0.000 0.360 0.750
S1 0.000 0.265 0.529
S2 0.184 0.462 0.750

***

# RbAg2P2S6 | Alexandria | PBE-GGA | relaxed
# Fermi-level density of states ... 4.20 states/eV per cell
# Size of the total moment ... 0.00 μB/cell
# Raw formation energy ... -335 meV/atom
data_RbAg2P2S6
_cell_length_a 6.402
_cell_length_b 6.609
_cell_length_c 7.719
_cell_angle_alpha 105.77
_cell_angle_beta 107.76
_cell_angle_gamma 97.62
_space_group_name_H-M_alt 'P -1'
_space_group_IT_number 2
_space_group_name_Hall '-P 1'
loop_
_atom_site_label
_atom_site_fract_x
_atom_site_fract_y
_atom_site_fract_z
Rb1 0.000 0.000 0.000
Ag1 0.147 0.691 0.480
P1 0.469 0.470 0.837
S1 0.206 0.206 0.680
S2 0.231 0.590 0.173
S3 0.415 0.755 0.802

***

# RbAgPS2 | Alexandria | PBE-GGA | relaxed
# Energy relative to the lowest polymorph listed for this composition ... 0 meV per atom
# Fermi-level density of states ... 4.09 states/eV per cell
# Size of the total moment ... 0.45 μB/cell
# Raw formation energy ... 331 meV/atom
data_RbAgPS2
_cell_length_a 5.154
_cell_length_b 5.154
_cell_length_c 4.774
_cell_angle_alpha 90.00
_cell_angle_beta 90.00
_cell_angle_gamma 90.00
_space_group_name_H-M_alt 'P 4/m m m'
_space_group_IT_number 123
_space_group_name_Hall '-P 4 2'
loop_
_atom_site_label
_atom_site_fract_x
_atom_site_fract_y
_atom_site_fract_z
Rb1 0.000 0.000 0.000
Ag1 0.500 0.500 0.500
P1 0.500 0.500 0.000
S1 0.000 0.500 0.500